# Y2MnCd, relaxed, DFT PBE-GGA
# ΔE to the lowest computed polymorph	0.242	eV/atom
# calculated formation energy	0.16	eV/atom
# crystal system	cubic
data_Y2MnCd
_chemical_formula_sum 'Y8 Mn4 Cd4'
_symmetry_space_group_name_H-M 'F -4 3 m'
_symmetry_Int_Tables_number 216
_symmetry_space_group_name_Hall 'F -4 2 3'
_cell_length_a 7.1880
_cell_length_b 7.1880
_cell_length_c 7.1880
_cell_angle_alpha 90.00
_cell_angle_beta 90.00
_cell_angle_gamma 90.00
loop_
_atom_site_label
_atom_site_type_symbol
_atom_site_fract_x
_atom_site_fract_y
_atom_site_fract_z
Y1 Y 0.0000 0.0000 0.0000
Y2 Y 0.2500 0.2500 0.2500
Mn1 Mn 0.2500 0.2500 0.7500
Cd1 Cd 0.0000 0.0000 0.5000